The following is a DFT calculation (PBE+U) of a relaxed structure of CoGeO3.

```
5
Lattice="3.7063 0.0000 0.0000 0.0000 3.7063 0.0000 0.0000 0.0000 3.7063" Properties=species:S:1:pos:R:3 pbc="T T T"
O 0.0000 1.8532 0.0000
O 0.0000 0.0000 1.8532
O 1.8532 0.0000 0.0000
Ge 1.8532 1.8532 1.8532
Co 0.0000 0.0000 0.0000
```

Output
DOS(E_F) in states/eV/cell: 3.225
DFT total energy in eV for the cell shown: -26.8